! Sc2ZnSe2 (GGA-PBE, optimized geometry); values from VASP
! - symmetry = No. 127
&SYSTEM
  ibrav = 0, nat = 10, ntyp = 3
/
ATOMIC_SPECIES
Sc 44.96 Sc.upf
Zn 65.41 Zn.upf
Se 78.96 Se.upf
CELL_PARAMETERS angstrom
7.557 0.000 0.000
0.000 7.557 0.000
0.000 0.000 3.472
ATOMIC_POSITIONS angstrom
Sc 1.147 2.631 0.000
Sc 2.631 6.410 0.000
Sc 4.925 1.147 0.000
Sc 6.410 4.925 0.000
Zn 0.000 0.000 1.736
Zn 3.778 3.778 1.736
Se 1.100 4.878 1.736
Se 2.679 1.100 1.736
Se 4.878 6.457 1.736
Se 6.457 2.679 1.736


! Zr5Ge4H (GGA-PBE, optimized geometry); values from VASP
! - symmetry = No. 79
&SYSTEM
  ibrav = 0, nat = 10, ntyp = 3
/
ATOMIC_SPECIES
Zr 91.22 Zr.upf
Ge 72.64 Ge.upf
H 1.01 H.upf
CELL_PARAMETERS angstrom
-4.261 4.261 2.718
4.261 -4.261 2.718
4.261 4.261 -2.718
ATOMIC_POSITIONS angstrom
Zr 0.000 0.000 0.000
Zr 5.135 1.713 0.507
Zr 1.713 3.387 0.507
Zr 2.548 0.874 3.226
Zr -0.874 2.548 3.226
Ge 2.544 0.828 0.500
Ge 3.433 -1.717 3.219
Ge 0.828 5.978 0.500
Ge 1.717 3.433 3.219
H 0.000 0.000 3.336


! Hf2NbHg (GGA-PBE, optimized geometry); values from VASP
! - symmetry = No. 160
&SYSTEM
  ibrav = 0, nat = 4, ntyp = 3
/
ATOMIC_SPECIES
Hf 178.49 Hf.upf
Nb 92.91 Nb.upf
Hg 200.59 Hg.upf
CELL_PARAMETERS angstrom
1.591 0.918 9.740
-1.591 0.918 9.740
0.000 -1.837 9.740
ATOMIC_POSITIONS angstrom
Hf 0.000 0.000 0.000
Hf 0.000 0.000 5.035
Nb 0.000 0.000 17.139
Hg 0.000 0.000 12.251


Number 1: energy -5.15 eV/atom, DOS at the Fermi energy 7.61 states/eV/cell. Number 2: energy -7.00 eV/atom, DOS at the Fermi energy 4.82 states/eV/cell. Number 3: energy -7.48 eV/atom, DOS at the Fermi energy 4.13 states/eV/cell.